## SmDy2AgN (PBE)

Data for a relaxed structure of SmDy2AgN.

Lattice parameters (Å, degrees): 4.7699 4.7699 4.9795 90.00 90.00 90.00
Positions (direct):
Sm (0.0000, 0.0000, 0.0000)
Dy (0.0000, 0.5000, 0.5000)
Dy (0.5000, 0.0000, 0.5000)
Ag (0.5000, 0.5000, 0.0000)
N (0.0000, 0.0000, 0.5000)

total magnetic moment = 0.0 μB per cell
crystal system = tetragonal
ΔE_f (raw) = -0.71 eV/atom
density of states at the Fermi level = 5.287 states/eV per cell
energy = -5.728 eV per atom